Record 1
# LaNd4Mg

A geometry-optimized LaNd4Mg structure (PBE-GGA, Alexandria via LeMat-Bulk).

Output
Polymorph energy (0 for the lowest one) = 39 meV/atom
Calculated formation energy = 2 kJ/mol of atoms

Geometry as extended XYZ:
```
12
Lattice="2.841 -6.193 0.000 2.841 6.193 0.000 0.000 0.000 11.557" Properties=species:S:1:pos:R:3 pbc="T T T"
La 2.841 3.958 5.779
La 2.841 -3.958 0.000
Nd 2.841 5.941 2.509
Nd 2.841 4.031 10.836
Nd 2.841 2.246 2.532
Nd 2.841 0.044 5.496
Nd 2.841 -0.044 11.275
Nd 2.841 -2.246 8.310
Nd 2.841 -4.031 5.057
Nd 2.841 -5.941 8.288
Mg 2.841 1.864 8.399
Mg 2.841 -1.864 2.621
```

***

Record 2
# K2MnPt

A geometry-optimized K2MnPt structure (PBE-GGA, Alexandria via LeMat-Bulk).

Output
Polymorph energy (0 for the lowest one) = 599 meV/atom
Calculated formation energy = 69 kJ/mol of atoms

Geometry as extended XYZ:
```
4
Lattice="0.000 3.880 3.880 3.880 0.000 3.880 3.880 3.880 0.000" Properties=species:S:1:pos:R:3 pbc="T T T"
K 1.940 1.940 1.940
K 5.820 5.820 5.820
Mn 0.000 0.000 0.000
Pt 3.880 3.880 3.880
```

***

Record 3
# In2TcSe

A geometry-optimized In2TcSe structure (PBE-GGA, Alexandria via LeMat-Bulk).

Output
ΔE_f (raw) = 0.4647 eV per atom

Geometry as extended XYZ:
```
4
Lattice="3.568 0.000 0.000 0.000 4.567 0.000 0.000 0.000 4.903" Properties=species:S:1:pos:R:3 pbc="T T T"
In 0.000 0.000 0.000
In 1.784 0.000 2.451
Tc 0.000 2.284 2.451
Se 1.784 2.284 0.000
```

***

Record 4
# TbMg9Cd2

A geometry-optimized TbMg9Cd2 structure (PBE-GGA, Alexandria via LeMat-Bulk).

Output
Calculated formation energy = -5 kJ/mol of atoms

Geometry as extended XYZ:
```
24
Lattice="-6.045 6.045 3.848 6.045 -6.045 3.848 6.045 6.045 -3.848" Properties=species:S:1:pos:R:3 pbc="T T T"
Tb 6.045 3.022 0.962
Tb 0.000 3.022 2.886
Mg 6.045 -3.022 2.886
Mg 4.579 -0.599 1.354
Mg 7.511 -0.599 1.354
Mg 2.423 1.556 0.570
Mg 9.666 1.556 0.570
Mg 4.579 5.445 -1.354
Mg 1.466 -0.599 2.494
Mg 2.423 4.488 0.570
Mg 3.622 -1.556 4.418
Mg 2.423 7.601 -0.570
Mg 3.622 1.556 3.278
Mg 4.579 6.644 1.354
Mg 1.466 0.599 5.202
Mg -3.622 4.488 3.278
Mg 3.622 4.488 3.278
Mg -1.466 6.644 2.494
Mg 1.466 6.644 2.494
Mg 0.000 9.067 0.962
Cd 0.000 0.000 0.000
Cd 3.022 3.022 -1.924
Cd 3.022 -3.022 1.924
Cd 0.000 6.045 0.000
```

***

Record 5
# Ti2SeS

A geometry-optimized Ti2SeS structure (PBE-GGA, Alexandria via LeMat-Bulk).

Output
ΔE_f (raw) = -0.9461 eV per atom
Polymorph energy (0 for the lowest one) = 194 meV/atom

Geometry as extended XYZ:
```
4
Lattice="0.000 3.131 3.131 3.131 0.000 3.131 3.131 3.131 0.000" Properties=species:S:1:pos:R:3 pbc="T T T"
Ti 1.566 1.566 1.566
Ti 4.697 4.697 4.697
Se 0.000 0.000 0.000
S 3.131 3.131 3.131
```

***

Record 6
# TlSnHg2F

A geometry-optimized TlSnHg2F structure (PBE-GGA, Alexandria via LeMat-Bulk).

Output
ΔE_f (raw) = -0.5388 eV per atom

Geometry as extended XYZ:
```
5
Lattice="5.743 0.000 0.000 0.000 5.743 0.000 0.000 0.000 4.461" Properties=species:S:1:pos:R:3 pbc="T T T"
Tl 0.000 0.000 0.000
Sn 2.872 2.872 2.230
Hg 0.000 2.872 2.230
Hg 2.872 0.000 2.230
F 2.872 2.872 0.000
```

***

Record 7
# SnTe2Pd3

A geometry-optimized SnTe2Pd3 structure (PBE-GGA, Alexandria via LeMat-Bulk).

Output
ΔE_f (raw) = -0.2914 eV per atom

Geometry as extended XYZ:
```
12
Lattice="3.404 -5.959 0.000 3.404 5.959 0.000 -2.219 0.000 6.467" Properties=species:S:1:pos:R:3 pbc="T T T"
Sn 1.740 5.016 4.850
Sn 2.849 -5.016 1.617
Te 2.849 3.192 1.617
Te 1.740 1.003 4.850
Te 2.849 -1.003 1.617
Te 1.740 -3.192 4.850
Pd 0.592 2.979 3.233
Pd 1.643 0.927 0.070
Pd 0.533 -0.927 3.303
Pd 1.702 -2.979 0.000
Pd 4.056 0.927 3.163
Pd 2.946 -0.927 6.397
```

***

Record 8
# Tm6ScTl5

A geometry-optimized Tm6ScTl5 structure (PBE-GGA, Alexandria via LeMat-Bulk).

Output
Calculated formation energy = -24 kJ/mol of atoms

Geometry as extended XYZ:
```
12
Lattice="-2.455 4.336 7.486 2.455 -4.336 7.486 2.455 4.336 -7.486" Properties=species:S:1:pos:R:3 pbc="T T T"
Tm 2.455 2.096 -2.524
Tm 0.000 1.996 0.000
Tm 2.455 2.096 2.524
Tm 0.000 2.240 4.961
Tm 0.000 6.676 0.000
Tm 0.000 2.240 10.010
Sc 0.000 0.000 7.486
Tl 2.455 0.000 0.000
Tl 0.000 0.000 2.635
Tl 2.455 0.000 5.311
Tl 0.000 4.336 2.174
Tl 0.000 0.000 12.336
```

***

Record 9
# CeCdCo

A geometry-optimized CeCdCo structure (PBE-GGA, Alexandria via LeMat-Bulk).

Output
Calculated formation energy = -4 kJ/mol of atoms

Geometry as extended XYZ:
```
3
Lattice="-1.575 1.575 5.975 1.575 -1.575 5.975 1.575 1.575 -5.975" Properties=species:S:1:pos:R:3 pbc="T T T"
Ce 0.000 0.000 0.000
Cd 0.000 0.000 8.632
Co 0.000 0.000 4.363
```

***

Record 10
# RbSbRhPb

A geometry-optimized RbSbRhPb structure (PBE-GGA, Alexandria via LeMat-Bulk).

Output
ΔE_f (raw) = -0.2776 eV per atom

Geometry as extended XYZ:
```
8
Lattice="4.381 0.000 0.000 0.000 4.381 0.000 0.000 0.000 13.776" Properties=species:S:1:pos:R:3 pbc="T T T"
Rb 1.095 1.095 3.427
Rb 3.286 3.286 10.349
Sb 1.095 1.095 8.324
Sb 3.286 3.286 5.451
Rh 1.095 3.286 6.888
Rh 3.286 1.095 6.888
Pb 1.095 3.286 0.000
Pb 3.286 1.095 0.000
```

***

Record 11
# LaSb2W

A geometry-optimized LaSb2W structure (PBE-GGA, Alexandria via LeMat-Bulk).

Output
ΔE_f (raw) = 0.0889 eV per atom
Polymorph energy (0 for the lowest one) = 248 meV/atom

Geometry as extended XYZ:
```
4
Lattice="5.198 0.000 0.000 0.000 1.946 5.477 0.000 -1.946 5.477" Properties=species:S:1:pos:R:3 pbc="T T T"
La 0.000 0.000 0.000
Sb 0.000 0.000 3.052
Sb 2.599 0.000 6.366
W 2.599 0.000 2.887
```

***

Record 12
# Ag2HPd4

A geometry-optimized Ag2HPd4 structure (PBE-GGA, Alexandria via LeMat-Bulk).

Geometry as extended XYZ:
```
7
Lattice="2.473 -1.428 0.000 2.473 1.428 0.000 -0.013 0.000 14.316" Properties=species:S:1:pos:R:3 pbc="T T T"
Ag 0.000 0.000 0.000
Ag 0.000 0.000 4.707
H 4.931 0.000 11.094
Pd 0.002 0.000 9.346
Pd 1.648 0.000 2.342
Pd 1.650 0.000 7.054
Pd 3.284 0.000 11.926
```

***

Number 1: total DFT energy (no corrections) -4.2497 eV per atom. Number 2: total DFT energy (no corrections) -3.6330 eV per atom. Number 3: total DFT energy (no corrections) -4.3672 eV per atom. Number 4: total DFT energy (no corrections) -1.7848 eV per atom. Number 5: total DFT energy (no corrections) -6.7965 eV per atom. Number 6: total DFT energy (no corrections) -2.3076 eV per atom. Number 7: total DFT energy (no corrections) -4.6022 eV per atom. Number 8: total DFT energy (no corrections) -3.9971 eV per atom. Number 9: total DFT energy (no corrections) -4.6952 eV per atom. Number 10: total DFT energy (no corrections) -4.3150 eV per atom. Number 11: total DFT energy (no corrections) -6.4424 eV per atom. Number 12: total DFT energy (no corrections) -4.3053 eV per atom.